The following is a PBE calculation of a relaxed structure of Li2CaCeTe4, from Alexandria via LeMat-Bulk. Values from VASP.

Summary:
**Fermi-level density of states**: 0.1 states/eV per cell
**Formation energy without anion corrections**: -1213 meV/atom
**Volume**: 237.4 Å³/cell
**Raw total energy**: -34.030 eV for the cell shown

The structure in Quantum ESPRESSO input format:
```
&SYSTEM
  ibrav = 0, nat = 8, ntyp = 4
/
ATOMIC_SPECIES
Li 6.94 Li.upf
Ca 40.08 Ca.upf
Ce 140.12 Ce.upf
Te 127.60 Te.upf
ATOMIC_POSITIONS angstrom
Li 0.0000 0.0000 0.0000
Li -1.2768 2.2260 3.5898
Ca 2.4365 0.0000 3.5898
Ce 3.7133 2.2260 0.0000
Te -0.1376 0.0000 5.4178
Te 1.1830 2.2260 1.7226
Te 3.6900 2.2260 5.4570
Te 5.0106 0.0000 1.7618
CELL_PARAMETERS angstrom
7.4265 0.0000 0.0000
0.0000 4.4521 0.0000
-2.5536 0.0000 7.1796
```